# PBE SrCd2Tc, optimized geometry
data_SrCd2Tc
_symmetry_space_group_name_H-M 'P 1 m 1'
_symmetry_Int_Tables_number 6
_cell_length_a 3.2849
_cell_length_b 4.6130
_cell_length_c 6.6653
_cell_angle_alpha 90.00
_cell_angle_beta 90.11
_cell_angle_gamma 90.00
loop_
_symmetry_equiv_pos_as_xyz
'x,y,z'
'x,-y,z'
loop_
_atom_site_label
_atom_site_fract_x
_atom_site_fract_y
_atom_site_fract_z
_atom_site_occupancy
Sr1 0.0000 0.0000 0.0000 1
Cd1 0.5034 0.0000 0.5651 1
Cd2 0.5026 0.5000 0.2897 1
Tc1 0.0044 0.5000 0.6432 1
# Crystal system   monoclinic
# Formation enthalpy at 0 K   44 kJ per mole of atoms